Y2HoEr7: optimized geometry, PBE.

The structure belongs to space group Cmmm (No. 65); the cell edges are 8.512, 17.736 and 4.996 Å and the angles 90.00°, 90.00° and 90.00°. The distinct sites, in fractional coordinates, are Y at (0.000, 0.203, 0.000), Ho at (0.000, 0.500, 0.500), Er at (0.000, 0.000, 0.000), Er at (0.000, 0.310, 0.500) and Er at (0.181, 0.397, 0.000).

As for the density of states at the Fermi level: 12.468 states/eV/f.u. The total energy is -4.24 eV per atom. The value obtained for the polymorph energy (0 for the lowest one) is 586 meV/atom. The energy of formation comes out at 0.708 eV per atom.



TmCuSi2Tc: optimized geometry, PBE.

The structure belongs to space group I-4m2 (No. 119); the cell edges are 3.979, 3.979 and 10.222 Å and the angles 90.00°, 90.00° and 90.00°. The distinct sites, in fractional coordinates, are Tm at (0.000, 0.000, 0.000), Cu at (0.000, 0.500, 0.250), Si at (0.000, 0.000, 0.382) and Tc at (0.000, 0.500, 0.750).

Its uncorrected formation energy is -562.5 meV/atom. As for the density of states at the Fermi level: 3.062 states/eV/f.u. The total energy is -6.52 eV per atom.



AlMo3: optimized geometry, PBE.

The structure belongs to space group R-3m (No. 166, hexagonal axes); the cell edges are 8.8816, 8.8816 and 2.7333 Å and the angles 90.00°, 90.00° and 120.00°. The distinct sites, in fractional coordinates, are Al at (0.0000, 0.0000, 0.0000) and Mo at (0.0000, 0.5000, 0.0000).

As for the density of states at the Fermi level: 2.999 states/eV/f.u. The total energy is -9.11 eV per atom. The value obtained for the polymorph energy (0 for the lowest one) is 202 meV/atom. The energy of formation comes out at -0.050 eV per atom.



ZrGaSnH2: optimized geometry, PBE.

The structure belongs to space group P4/mmm (No. 123); the cell edges are 3.884, 3.884 and 6.036 Å and the angles 90.00°, 90.00° and 90.00°. The distinct sites, in fractional coordinates, are Zr at (0.000, 0.000, 0.000), Ga at (0.500, 0.500, 0.000), Sn at (0.500, 0.500, 0.500) and H at (0.000, 0.500, 0.500).

As for the density of states at the Fermi level: 2.551 states/eV/f.u. The total energy is -4.00 eV per atom.